(1)
{
  "formula": "CoTc3Se",
  "functional": "PBE",
  "state": "optimized geometry",
  "lattice_angstrom": [[4.477, 0.000, 0.000], [0.000, 4.477, 0.000], [0.000, 0.000, 4.477]],
  "species": ["Co", "Tc", "Tc", "Tc", "Se"],
  "frac_coords": [[0.000, 0.000, 0.000], [0.000, 0.500, 0.500], [0.500, 0.000, 0.500], [0.500, 0.500, 0.000], [0.500, 0.500, 0.500]],
  "crystal_system": "cubic",
  "sg": "Pm-3m",
  "magmom_total_mub_per_fu": 0.01,
  "de_polymorph_mev_per_atom": 65
}

(2)
{
  "formula": "Nd5ZnIr2",
  "functional": "PBE",
  "state": "optimized geometry",
  "lattice_angstrom": [[-4.012, 4.012, 6.764], [4.012, -4.012, 6.764], [4.012, 4.012, -6.764]],
  "species": ["Nd", "Nd", "Nd", "Nd", "Nd", "Nd", "Nd", "Nd", "Nd", "Nd", "Zn", "Zn", "Ir", "Ir", "Ir", "Ir"],
  "frac_coords": [[0.000, 0.000, 0.000], [0.027, 0.527, 0.825], [0.201, 0.027, 0.500], [0.299, 0.799, 0.825], [0.473, 0.299, 0.500], [0.500, 0.500, 0.000], [0.527, 0.701, 0.500], [0.701, 0.201, 0.175], [0.799, 0.973, 0.500], [0.973, 0.473, 0.175], [0.250, 0.250, 0.000], [0.750, 0.750, 0.000], [0.136, 0.364, 0.500], [0.364, 0.864, 0.228], [0.636, 0.136, 0.772], [0.864, 0.636, 0.500]],
  "crystal_system": "tetragonal",
  "sg": "I4/mcm",
  "magmom_total_mub_per_fu": 0.00,
  "e_form_mev_per_atom": -481
}

(3)
{
  "formula": "LiNiIr2",
  "functional": "PBE",
  "state": "optimized geometry",
  "lattice_angstrom": [[-3.678, 3.678, 2.284], [3.678, -3.678, 2.284], [3.678, 3.678, -2.284]],
  "species": ["Li", "Li", "Ni", "Ni", "Ir", "Ir", "Ir", "Ir"],
  "frac_coords": [[0.000, 0.000, 0.000], [0.750, 0.250, 0.500], [0.250, 0.750, 0.500], [0.500, 0.500, 0.000], [0.187, 0.125, 0.562], [0.375, 0.813, 0.938], [0.563, 0.625, 0.438], [0.875, 0.437, 0.062]],
  "crystal_system": "tetragonal",
  "sg": "I-42d",
  "magmom_total_mub_per_fu": 0.00,
  "de_polymorph_mev_per_atom": 502,
  "e_form_mev_per_atom": 426
}

(4)
{
  "formula": "Pm3Y2Ho",
  "functional": "PBE",
  "state": "optimized geometry",
  "lattice_angstrom": [[7.258, 0.000, 0.000], [3.621, 6.297, 0.000], [1.835, 1.056, 8.712]],
  "species": ["Pm", "Pm", "Pm", "Pm", "Pm", "Pm", "Y", "Y", "Y", "Y", "Ho", "Ho"],
  "frac_coords": [[0.138, 0.139, 0.166], [0.138, 0.639, 0.168], [0.250, 0.750, 0.501], [0.750, 0.250, 0.499], [0.862, 0.361, 0.832], [0.862, 0.861, 0.834], [0.362, 0.361, 0.834], [0.363, 0.861, 0.832], [0.637, 0.139, 0.168], [0.638, 0.639, 0.166], [0.250, 0.249, 0.501], [0.750, 0.751, 0.499]],
  "crystal_system": "triclinic",
  "sg": "P-1",
  "magmom_total_mub_per_fu": 0.00,
  "de_polymorph_mev_per_atom": 8,
  "e_form_mev_per_atom": 4
}

(5)
{
  "formula": "CdCo2P",
  "functional": "PBE",
  "state": "optimized geometry",
  "lattice_angstrom": [[3.009, 0.000, 0.000], [0.000, 3.009, 0.000], [0.000, 0.000, 6.271]],
  "species": ["Cd", "Co", "Co", "P"],
  "frac_coords": [[0.000, 0.000, 0.000], [0.000, 0.000, 0.516], [0.500, 0.500, 0.278], [0.500, 0.500, 0.635]],
  "crystal_system": "tetragonal",
  "sg": "P4mm",
  "magmom_total_mub_per_fu": 1.37,
  "de_polymorph_mev_per_atom": 209,
  "e_form_mev_per_atom": 71
}

(6)
{
  "formula": "Th2CoB10",
  "functional": "PBE",
  "state": "optimized geometry",
  "lattice_angstrom": [[5.618, 0.000, 0.000], [0.000, 11.216, 0.000], [0.000, 0.000, 4.182]],
  "species": ["Th", "Th", "Th", "Th", "Co", "Co", "B", "B", "B", "B", "B", "B", "B", "B", "B", "B", "B", "B", "B", "B", "B", "B", "B", "B", "B", "B"],
  "frac_coords": [[0.198, 0.134, 0.000], [0.302, 0.634, 0.000], [0.698, 0.366, 0.000], [0.802, 0.866, 0.000], [0.000, 0.500, 0.500], [0.500, 0.000, 0.500], [0.035, 0.313, 0.500], [0.127, 0.960, 0.500], [0.153, 0.803, 0.500], [0.201, 0.387, 0.200], [0.201, 0.387, 0.800], [0.299, 0.887, 0.200], [0.299, 0.887, 0.800], [0.347, 0.303, 0.500], [0.373, 0.460, 0.500], [0.465, 0.813, 0.500], [0.535, 0.187, 0.500], [0.627, 0.540, 0.500], [0.653, 0.697, 0.500], [0.701, 0.113, 0.200], [0.701, 0.113, 0.800], [0.799, 0.613, 0.200], [0.799, 0.613, 0.800], [0.847, 0.197, 0.500], [0.873, 0.040, 0.500], [0.965, 0.687, 0.500]],
  "crystal_system": "orthorhombic",
  "sg": "Pbam",
  "magmom_total_mub_per_fu": 0.00,
  "e_form_mev_per_atom": -621
}